This record from the Alexandria database describes a relaxed structure of Sm6Y2In. The functional is PBE.

a = 10.816 Å, b = 10.816 Å, c = 4.931 Å
α = 90.00°, β = 90.00°, γ = 90.00°
Space group P4_2/mnm (No. 136)
One atom of each set of equivalent atoms:
Sm: 0.004 0.335 0.000 x8
Sm: 0.162 0.162 0.500 x4
Y: 0.158 0.842 0.500 x4
In: 0.000 0.000 0.000 x2

## Properties
DFT formation energy, meV/atom: -72
Volume, Å³/cell: 576.9
Total magnetic moment, μB/cell: 0.00
Excess energy over the best structure of this formula in the dataset, meV/atom: 25.2